No. 1
SrLaMg2 | meta-GGA SCAN | single point on PBEsol structure

Summary:
VASP energy	-18.8444	eV/atom
energy relative to the elements	-0.012	eV/atom
M_tot	0.198	μB per formula unit
V	32.10	Å³ per atom

a b c (Å): 3.7474 5.8304 6.6709
angles (deg): 112.38 106.31 90.00
Site moments in Bohr magnetons follow the coordinates.
Positions (direct):
La 0.7274 0.2129 0.4547  0.11
Mg 0.9766 0.0003 0.9531  0.00
Mg 0.2773 0.7529 0.5546  0.00
Sr 0.5188 0.5339 0.0376  -0.01

No. 2
RbScNO2 | meta-GGA SCAN | single point on PBEsol structure

Summary:
VASP energy	-12.6952	eV/atom
ΔE_f (raw)	-1.35	eV/atom
M_tot	3.000	μB per formula unit
V	15.43	Å³ per atom

a b c (Å): 4.1510 4.1510 4.4775
angles (deg): 90.00 90.00 90.00
Site moments in Bohr magnetons follow the coordinates.
Positions (direct):
Sc 0.0000 0.0000 0.0000  -0.12
O 0.0000 0.5000 0.0000  0.48
O 0.5000 0.0000 0.0000  0.48
Rb 0.5000 0.5000 0.5000  0.03
N 0.0000 0.0000 0.5000  1.32

no.,ρ (g/cm³)
1,3.558
2,3.797